## GdLuScGa (PBE)

Data for crystalline GdLuScGa at its relaxed geometry.

The structure in POSCAR format:
```
GdLuScGa
1.0
-0.9790 -2.9900 4.1099
3.3176 -3.7455 1.3246
2.8621 0.4748 4.2863
Gd Sc Lu Ga
1 1 1 1
direct
0.5000 0.5000 0.5000
0.7500 0.7500 0.7500
0.0000 0.0000 0.0000
0.2500 0.2500 0.2500
```

Density, Mg/m³: 7.57
E_form, eV/atom: -0.141
DOS(E_F), states/eV per cell: 5.668
Total magnetization, Bohr magnetons per cell: 8.0
Calculated volume, Å³ per atom: 24.51
Crystal system: cubic